Entry 1:
The following is a PBE calculation of a relaxed structure of HgBi2Se2, from Alexandria.

Geometry as extended XYZ:
```
5
Lattice="4.7575 0.0000 0.0000 0.0000 4.7575 0.0000 2.3787 2.3787 6.8100" Properties=species:S:1:pos:R:3 pbc="T T T"
Bi 4.7575 2.3787 3.4050
Bi 2.3787 4.7575 3.4050
Se 2.3787 2.3787 1.2418
Se 4.7575 4.7575 5.5682
Hg 0.0000 0.0000 0.0000
```

theoretical density = 8.37 g/cm3
VASP energy = -2.8779 eV per atom
total magnetization = 0.000 μB/atom
DOS(E_F) = 2.24 states/eV/f.u.

=====

Entry 2:
The following is a PBE calculation of a relaxed structure of Hg4Bi2Se, from Alexandria.

Geometry as extended XYZ:
```
7
Lattice="5.5826 0.0000 0.0000 0.0000 5.5826 0.0000 2.7913 2.7913 7.4222" Properties=species:S:1:pos:R:3 pbc="T T T"
Bi 5.5826 5.5826 5.7578
Bi 2.7913 2.7913 1.6643
Se 0.0000 0.0000 0.0000
Hg 5.5826 5.5826 2.8158
Hg 2.7913 2.7913 4.6064
Hg 0.0000 2.7913 0.0000
Hg 2.7913 0.0000 0.0000
```

theoretical density = 9.33 g/cm3
VASP energy = -1.5644 eV per atom
total magnetization = 0.000 μB/atom
DOS(E_F) = 4.44 states/eV/f.u.

=====

Entry 3:
The following is a PBE calculation of a relaxed structure of Hg3BiSe, from Alexandria.

Geometry as extended XYZ:
```
5
Lattice="5.4238 0.0000 0.0000 0.0000 5.4238 0.0000 0.0000 0.0000 5.4238" Properties=species:S:1:pos:R:3 pbc="T T T"
Bi 2.7119 2.7119 2.7119
Se 0.0000 0.0000 0.0000
Hg 0.0000 2.7119 0.0000
Hg 0.0000 0.0000 2.7119
Hg 2.7119 0.0000 0.0000
```

theoretical density = 9.26 g/cm3
VASP energy = -1.2699 eV per atom
total magnetization = 0.188 μB/atom
DOS(E_F) = 4.49 states/eV/f.u.

=====

Entry 4:
The following is a PBE calculation of a relaxed structure of HgBi2Se2, from Alexandria.

Geometry as extended XYZ:
```
10
Lattice="8.5814 0.0000 0.0000 0.0000 8.5814 0.0000 0.0000 0.0000 3.9854" Properties=species:S:1:pos:R:3 pbc="T T T"
Bi 2.6626 6.9533 0.0000
Bi 6.9533 5.9188 0.0000
Bi 5.9188 1.6281 0.0000
Bi 1.6281 2.6626 0.0000
Se 1.2515 5.5422 1.9927
Se 5.5422 7.3299 1.9927
Se 7.3299 3.0392 1.9927
Se 3.0392 1.2515 1.9927
Hg 0.0000 0.0000 0.0000
Hg 4.2907 4.2907 0.0000
```

theoretical density = 8.79 g/cm3
VASP energy = -3.1147 eV per atom
total magnetization = 0.000 μB/atom
DOS(E_F) = 1.61 states/eV/f.u.

=====

Entry 5:
The following is a PBE calculation of a relaxed structure of HgBi2Se2, from Alexandria.

Geometry as extended XYZ:
```
5
Lattice="5.6873 0.0000 0.0000 0.0000 5.6873 0.0000 2.8436 2.8436 4.9596" Properties=species:S:1:pos:R:3 pbc="T T T"
Bi 2.8436 2.8436 1.6483
Bi 5.6873 5.6873 3.3113
Se 5.6873 2.8436 2.4798
Se 2.8436 5.6873 2.4798
Hg 0.0000 0.0000 0.0000
```

theoretical density = 8.04 g/cm3
VASP energy = -3.1588 eV per atom
total magnetization = 0.000 μB/atom
DOS(E_F) = 0.34 states/eV/f.u.

=====

Entry 6:
The following is a PBE calculation of a relaxed structure of HgBi2Se2, from Alexandria.

Geometry as extended XYZ:
```
10
Lattice="-2.8349 -5.3285 -6.0684 7.5732 -3.9876 -0.0365 -1.2250 -2.3507 2.6364" Properties=species:S:1:pos:R:3 pbc="T T T"
Bi 3.8958 -4.5881 0.3701
Bi 3.9579 -8.0314 -2.6712
Bi -0.3825 -7.0787 -3.8386
Bi -0.4447 -3.6354 -0.7973
Se 5.4504 -5.2650 -2.1619
Se 2.5011 -7.1227 -5.1887
Se -0.7121 -4.0511 -3.9430
Se 2.2372 -2.1934 -0.9162
Hg 0.0000 0.0000 0.0000
Hg 2.3691 -4.6580 -3.0524
```

theoretical density = 9.42 g/cm3
VASP energy = -2.9845 eV per atom
total magnetization = 0.000 μB/atom
DOS(E_F) = 3.17 states/eV/f.u.

=====

Which of these has the lowest VASP energy? number 5

=====

Please write out number 2 again, unchanged.
The following is a PBE calculation of a relaxed structure of Hg4Bi2Se, from Alexandria.

Geometry as extended XYZ:
```
7
Lattice="5.5826 0.0000 0.0000 0.0000 5.5826 0.0000 2.7913 2.7913 7.4222" Properties=species:S:1:pos:R:3 pbc="T T T"
Bi 5.5826 5.5826 5.7578
Bi 2.7913 2.7913 1.6643
Se 0.0000 0.0000 0.0000
Hg 5.5826 5.5826 2.8158
Hg 2.7913 2.7913 4.6064
Hg 0.0000 2.7913 0.0000
Hg 2.7913 0.0000 0.0000
```

theoretical density = 9.33 g/cm3
VASP energy = -1.5644 eV per atom
total magnetization = 0.000 μB/atom
DOS(E_F) = 4.44 states/eV/f.u.